Entry from the Alexandria database: crystalline MnCdSbO6 at its relaxed geometry (GGA+U).

POSCAR file:
```
MnCdSbO6
1.0
5.2230 0.0000 0.0000
-2.6115 4.5233 0.0000
0.0000 0.0000 9.5490
Mn Cd Sb O
2 2 2 12
direct
0.3333 0.6667 0.2500 Mn
0.6667 0.3333 0.7500 Mn
0.0000 0.0000 0.0000 Cd
0.0000 0.0000 0.5000 Cd
0.3333 0.6667 0.7500 Sb
0.6667 0.3333 0.2500 Sb
0.0116 0.3727 0.1386 O
0.0116 0.6389 0.3614 O
0.3611 0.3727 0.3614 O
0.3611 0.9884 0.1386 O
0.3727 0.0116 0.6386 O
0.3727 0.3611 0.8614 O
0.6273 0.6389 0.1386 O
0.6273 0.9884 0.3614 O
0.6389 0.0116 0.8614 O
0.6389 0.6273 0.6386 O
0.9884 0.3611 0.6386 O
0.9884 0.6273 0.8614 O
```

Calculated values
**Space-group type**: P-31c (163)
**Final energy**: -5.85 eV/atom
**Magnetic moment**: 3.97 Bohr magnetons per cell